The following is a DFT calculation (PBE-GGA) of an optimized crystal structure of CuNi2Br.

a = 2.9421 Å, b = 3.2439 Å, c = 6.4164 Å
α = 89.89°, β = 90.00°, γ = 90.00°
Last column: nearest neighbours and their distance in Å.
Atoms (fractional coordinates):
Br 0.5000 0.2500 0.2500  4 Ni 2.47
Cu 0.5000 0.7500 0.7500  8 Ni 2.51
Ni 0.0000 0.2489 0.9402  1 Ni 2.44, 2 Br 2.47, 4 Cu 2.51
Ni 0.0000 0.2511 0.5598  1 Ni 2.44, 2 Br 2.47, 4 Cu 2.51

Calculated values
Formation energy without anion corrections, eV/atom: 0.3266
ρ, g cm⁻³: 7.1
Calculated total energy, eV/f.u.: -16.025
SG: No. 10
Spin magnetization, μB per formula unit: 0.77
Polymorph energy (0 for the lowest one), eV per atom: 0.007